# 1
VASP calculation (PBEsol) on a geometry-optimized CaTaSe2 structure.

Cell and atoms, written as POSCAR:
```
CaTaSe2
1.0
3.516 0.000 0.000
0.000 4.936 0.000
-1.758 0.000 4.845
Ca Se Ta
1 2 1
Direct
0.531 0.500 0.061 Ca
0.961 0.000 0.921 Se
0.249 0.500 0.499 Se
0.250 0.000 0.500 Ta
```

Computed properties:
As for the space group: Amm2, No. 38. The energy relative to the elements, uncorrected is -0.876 eV per atom. The calculation puts the volume at 84 Å³ per cell.

=====

# 2
VASP calculation (PBEsol) on a geometry-optimized MnP2Br structure.

Cell and atoms, written as POSCAR:
```
MnP2Br
1.0
3.494 0.000 0.000
0.000 3.494 0.000
0.000 0.000 6.142
Br Mn P
1 1 2
Direct
0.500 0.500 0.500 Br
0.000 0.000 0.500 Mn
0.000 0.500 0.000 P
0.500 0.000 0.000 P
```

Computed properties:
As for the space group: P4/mmm, No. 123. The energy relative to the elements, uncorrected is 0.450 eV per atom. The calculation puts the volume at 75 Å³ per cell.

=====

# 3
VASP calculation (PBEsol) on a geometry-optimized Pr2TeO2 structure.

Cell and atoms, written as POSCAR:
```
Pr2TeO2
1.0
4.050 0.000 0.000
0.000 4.050 0.000
-2.025 -2.025 6.435
Pr Te O
2 1 2
Direct
0.341 0.341 0.683 Pr
0.659 0.659 0.317 Pr
0.000 0.000 0.000 Te
0.250 0.750 0.500 O
0.750 0.250 0.500 O
```

Computed properties:
As for the space group: I4/mmm, No. 139. The energy relative to the elements, uncorrected is -2.885 eV per atom. The calculation puts the volume at 106 Å³ per cell.

=====

# 4
VASP calculation (PBEsol) on a geometry-optimized TaCu2As structure.

Cell and atoms, written as POSCAR:
```
TaCu2As
1.0
2.856 0.000 0.000
0.000 3.386 0.000
0.000 0.000 5.816
As Cu Ta
1 2 1
Direct
0.500 0.500 0.767 As
0.000 0.000 0.021 Cu
0.500 0.500 0.216 Cu
0.000 0.000 0.496 Ta
```

Computed properties:
As for the space group: Pmm2, No. 25. For the electronic total energy, the calculation gives -26.2 eV/f.u. The calculation puts the volume at 56 Å³ per cell.

=====

# 5
VASP calculation (PBEsol) on a geometry-optimized CaMnPb structure.

Cell and atoms, written as POSCAR:
```
CaMnPb
1.0
-0.959 -3.256 -0.119
3.183 -1.008 1.919
-3.746 2.736 3.788
Pb Ca Mn
1 1 1
Direct
0.696 0.696 0.392 Pb
0.997 0.997 0.994 Ca
0.307 0.307 0.614 Mn
```

Computed properties:
As for the space group: Imm2, No. 44. For the electronic total energy, the calculation gives -15.2 eV/f.u. The calculation puts the volume at 71 Å³ per cell.

=====

# 6
VASP calculation (PBEsol) on a geometry-optimized Li5Ti2Mn3O10 structure.

Cell and atoms, written as POSCAR:
```
Li5Ti2Mn3O10
1.0
5.109 -0.007 -0.029
-1.046 5.090 0.019
-1.522 -2.710 7.072
Li Ti Mn O
5 2 3 10
Direct
0.219 0.896 0.399 Li
0.396 0.296 0.786 Li
0.500 0.500 0.500 Li
0.781 0.103 0.602 Li
0.604 0.703 0.215 Li
0.099 0.712 0.689 Ti
0.902 0.287 0.312 Ti
0.000 0.500 0.000 Mn
0.687 0.884 0.892 Mn
0.314 0.116 0.109 Mn
0.051 0.067 0.839 O
0.137 0.327 0.545 O
0.328 0.686 0.937 O
0.222 0.496 0.237 O
0.434 0.891 0.655 O
0.566 0.108 0.345 O
0.778 0.503 0.763 O
0.672 0.314 0.064 O
0.863 0.672 0.455 O
0.950 0.933 0.161 O
```

Computed properties:
As for the space group: P-1, No. 2. The energy relative to the elements, uncorrected is -2.186 eV per atom. The calculation puts the volume at 184 Å³ per cell.

=====

# 7
VASP calculation (PBEsol) on a geometry-optimized Li2CaOs structure.

Cell and atoms, written as POSCAR:
```
Li2CaOs
1.0
2.686 0.000 0.000
0.000 2.686 0.000
0.000 0.000 9.852
Ca Li Os
1 2 1
Direct
0.500 0.500 0.500 Ca
0.000 0.000 0.798 Li
0.000 0.000 0.202 Li
0.500 0.500 0.000 Os
```

Computed properties:
As for the space group: P4/mmm, No. 123. For the electronic total energy, the calculation gives -15.8 eV/f.u. The calculation puts the volume at 71 Å³ per cell.

=====

# 8
VASP calculation (PBEsol) on a geometry-optimized Li2SiSb structure.

Cell and atoms, written as POSCAR:
```
Li2SiSb
1.0
3.093 0.000 0.000
1.547 2.679 0.000
1.547 0.893 8.794
Sb Si Li
1 1 2
Direct
0.500 0.500 0.500 Sb
0.000 0.000 0.000 Si
0.255 0.255 0.236 Li
0.745 0.745 0.764 Li
```

Computed properties:
As for the space group: R-3m, No. 166. The energy relative to the elements, uncorrected is -0.100 eV per atom. The calculation puts the volume at 73 Å³ per cell.

=====

# 9
VASP calculation (PBEsol) on a geometry-optimized MnAs2P structure.

Cell and atoms, written as POSCAR:
```
MnAs2P
1.0
2.920 0.000 0.000
1.460 2.529 0.000
1.460 0.843 8.118
As Mn P
2 1 1
Direct
0.236 0.236 0.291 As
0.764 0.764 0.709 As
0.500 0.500 0.500 Mn
0.000 0.000 0.000 P
```

Computed properties:
As for the space group: R-3m, No. 166. For the electronic total energy, the calculation gives -24.9 eV/f.u. The calculation puts the volume at 60 Å³ per cell.

=====

# 10
VASP calculation (PBEsol) on a geometry-optimized BaRe2Hg structure.

Cell and atoms, written as POSCAR:
```
BaRe2Hg
1.0
-0.869 1.514 2.227
1.007 -1.988 1.744
8.854 4.709 0.255
Re Hg Ba
2 1 1
Direct
0.000 0.000 0.716 Re
0.000 0.000 0.284 Re
0.500 0.500 0.500 Hg
0.500 0.500 0.000 Ba
```

Computed properties:
As for the space group: P4/mmm, No. 123. For the electronic total energy, the calculation gives -23.9 eV/f.u. The calculation puts the volume at 80 Å³ per cell.

=====

# 11
VASP calculation (PBEsol) on a geometry-optimized UO2F2 structure.

Cell and atoms, written as POSCAR:
```
UO2F2
1.0
4.182 0.000 0.000
2.091 3.622 0.000
2.091 1.207 5.428
U O F
1 2 2
Direct
0.000 0.000 0.000 U
0.891 0.891 0.326 O
0.109 0.109 0.674 O
0.666 0.666 0.003 F
0.334 0.334 0.997 F
```

Computed properties:
As for the space group: R-3m, No. 166. The energy relative to the elements, uncorrected is -3.161 eV per atom. The calculation puts the volume at 82 Å³ per cell.

=====

# 12
VASP calculation (PBEsol) on a geometry-optimized TlIn5 structure.

Cell and atoms, written as POSCAR:
```
TlIn5
1.0
3.258 0.000 0.000
0.000 3.258 0.000
0.000 0.000 14.568
In Tl
5 1
Direct
0.000 0.000 0.825 In
0.000 0.000 0.175 In
0.500 0.500 0.663 In
0.500 0.500 0.337 In
0.000 0.000 0.500 In
0.500 0.500 0.000 Tl
```

Computed properties:
As for the space group: P4/mmm, No. 123. For the electronic total energy, the calculation gives -17.5 eV/f.u. The calculation puts the volume at 155 Å³ per cell.

=====

# 13
VASP calculation (PBEsol) on a geometry-optimized RbFeCuAg2 structure.

Cell and atoms, written as POSCAR:
```
RbFeCuAg2
1.0
-1.316 -4.390 -1.176
4.880 -1.774 1.160
-1.518 -0.890 5.022
Cu Rb Ag Fe
1 1 2 1
Direct
0.500 0.500 0.500 Cu
0.000 0.000 0.000 Rb
0.000 0.000 0.500 Ag
0.000 0.500 0.000 Ag
0.500 0.000 0.000 Fe
```

Computed properties:
As for the space group: P4/mmm, No. 123. For the electronic total energy, the calculation gives -9.5 eV/f.u. The calculation puts the volume at 134 Å³ per cell.

=====

# 14
VASP calculation (PBEsol) on a geometry-optimized CsSiN2F structure.

Cell and atoms, written as POSCAR:
```
CsSiN2F
1.0
-2.883 2.162 2.375
-1.695 -3.735 1.343
3.062 -0.040 3.753
Cs Si N F
1 1 2 1
Direct
0.000 0.000 0.000 Cs
0.500 0.500 0.500 Si
0.000 0.500 0.000 N
0.500 0.000 0.000 N
0.000 0.000 0.500 F
```

Computed properties:
As for the space group: P4/mmm, No. 123. The energy relative to the elements, uncorrected is 1.857 eV per atom. The calculation puts the volume at 90 Å³ per cell.

=====

# 15
VASP calculation (PBEsol) on a geometry-optimized Li2MnSiO4 structure.

Cell and atoms, written as POSCAR:
```
Li2MnSiO4
1.0
-3.919 1.910 0.723
-1.863 -2.703 -2.959
2.091 -2.406 4.182
Si Mn O Li
1 1 4 2
Direct
0.500 0.500 0.000 Si
0.000 0.000 0.000 Mn
0.172 0.600 0.771 O
0.600 0.172 0.771 O
0.400 0.400 0.229 O
0.828 0.828 0.229 O
0.250 0.750 0.500 Li
0.750 0.250 0.500 Li
```

Computed properties:
As for the space group: I-42m, No. 121. The energy relative to the elements, uncorrected is -2.227 eV per atom. The calculation puts the volume at 83 Å³ per cell.

=====

# 16
VASP calculation (PBEsol) on a geometry-optimized BaPt2S3 structure.

Cell and atoms, written as POSCAR:
```
BaPt2S3
1.0
-1.075 -6.225 -2.392
2.511 -2.622 5.697
-11.235 0.032 4.966
Ba Pt S
4 8 12
Direct
0.673 0.673 0.000 Ba
0.173 0.827 0.750 Ba
0.827 0.173 0.250 Ba
0.327 0.327 0.500 Ba
0.750 0.004 0.625 Pt
0.996 0.250 0.875 Pt
0.004 0.750 0.375 Pt
0.250 0.496 0.125 Pt
0.750 0.504 0.625 Pt
0.496 0.250 0.875 Pt
0.504 0.750 0.375 Pt
0.250 0.996 0.125 Pt
0.254 0.843 0.495 S
0.746 0.157 0.995 S
0.843 0.254 0.505 S
0.343 0.246 0.245 S
0.657 0.754 0.745 S
0.246 0.343 0.755 S
0.754 0.657 0.255 S
0.246 0.246 0.000 S
0.754 0.754 0.500 S
0.746 0.254 0.750 S
0.254 0.746 0.250 S
0.157 0.746 0.005 S
```

Computed properties:
As for the space group: P4_12_12, No. 92. The energy relative to the elements, uncorrected is -0.997 eV per atom. The calculation puts the volume at 560 Å³ per cell.

=====

# 17
VASP calculation (PBEsol) on a geometry-optimized Li2Re structure.

Cell and atoms, written as POSCAR:
```
Li2Re
1.0
-0.728 -2.367 0.219
5.238 -0.453 -1.590
0.771 0.383 6.701
Li Re
4 2
Direct
0.795 0.591 0.849 Li
0.118 0.236 0.503 Li
0.205 0.409 0.151 Li
0.882 0.764 0.497 Li
0.470 0.940 0.163 Re
0.530 0.060 0.837 Re
```

Computed properties:
As for the space group: C2/m, No. 12. For the electronic total energy, the calculation gives -16.3 eV/f.u. The calculation puts the volume at 88 Å³ per cell.

=====

# 18
VASP calculation (PBEsol) on a geometry-optimized Fe2ReNi structure.

Cell and atoms, written as POSCAR:
```
Fe2ReNi
1.0
2.564 0.000 0.000
-1.282 4.182 -0.008
0.000 -0.737 4.332
Fe Ni Re
2 1 1
Direct
0.747 0.493 0.743 Fe
0.253 0.507 0.257 Fe
0.000 0.000 0.500 Ni
0.500 0.000 0.000 Re
```

Computed properties:
As for the space group: C2/m, No. 12. For the electronic total energy, the calculation gives -37.1 eV/f.u. The calculation puts the volume at 46 Å³ per cell.

=====

# 19
VASP calculation (PBEsol) on a geometry-optimized MnNb4S8 structure.

Cell and atoms, written as POSCAR:
```
MnNb4S8
1.0
-6.247 2.160 0.343
1.599 -4.846 -4.215
-2.316 -8.025 8.347
Mn Nb S
2 8 16
Direct
0.000 0.000 0.500 Mn
0.000 0.000 0.000 Mn
0.506 0.012 0.250 Nb
0.494 0.988 0.750 Nb
0.494 0.506 0.750 Nb
0.988 0.494 0.250 Nb
0.000 0.000 0.750 Nb
0.000 0.000 0.250 Nb
0.506 0.494 0.250 Nb
0.012 0.506 0.750 Nb
0.333 0.667 0.887 S
0.667 0.333 0.387 S
0.667 0.333 0.113 S
0.333 0.667 0.613 S
0.664 0.832 0.118 S
0.832 0.168 0.618 S
0.832 0.664 0.618 S
0.168 0.336 0.118 S
0.168 0.832 0.118 S
0.336 0.168 0.618 S
0.664 0.832 0.382 S
0.832 0.168 0.882 S
0.832 0.664 0.882 S
0.168 0.336 0.382 S
0.168 0.832 0.382 S
0.336 0.168 0.882 S
```

Computed properties:
As for the space group: P6_3/mmc, No. 194. The energy relative to the elements, uncorrected is -1.144 eV per atom. The calculation puts the volume at 448 Å³ per cell.

=====

# 20
VASP calculation (PBEsol) on a geometry-optimized FeSb3Pb structure.

Cell and atoms, written as POSCAR:
```
FeSb3Pb
1.0
5.615 0.000 0.000
0.000 5.615 0.000
0.000 0.000 5.615
Pb Sb Fe
1 3 1
Direct
0.000 0.000 0.000 Pb
0.000 0.500 0.000 Sb
0.000 0.000 0.500 Sb
0.500 0.000 0.000 Sb
0.500 0.500 0.500 Fe
```

Computed properties:
As for the space group: Pm-3m, No. 221. The energy relative to the elements, uncorrected is 1.636 eV per atom. The calculation puts the volume at 177 Å³ per cell.

=====

Total magnetic moment, record by record: 0.0 4.5 0.0 0.0 3.2 13.8 0.0 0.0 0.0 0.0 0.0 0.0 2.4 0.0 5.0 0.0 0.0 3.8 6.7 3.4 μB per cell